A relaxed structure of Mn2ClF3. Source: Alexandria, functional PBE with a Hubbard U.

a b c (Å): 5.530 6.850 6.850
angles (deg): 120.00 90.00 90.00
Last column: magnetic moment on the atom in μB.
Fractional coordinates of all 12 atoms:
1 Mn 0.000 0.000 0.000  4.71
2 Mn 0.000 0.500 0.500  4.67
3 Mn 0.000 0.500 0.000  4.67
4 Mn 0.000 0.000 0.500  4.67
5 Cl 0.290 0.667 0.333  0.04
6 Cl 0.710 0.333 0.667  0.04
7 F 0.837 0.338 0.169  0.06
8 F 0.837 0.831 0.662  0.06
9 F 0.837 0.831 0.169  0.06
10 F 0.163 0.169 0.831  0.06
11 F 0.163 0.662 0.831  0.06
12 F 0.163 0.169 0.338  0.06

Properties
**Total energy**: -6.021 eV/atom